[1]
Density functional theory data (PBE-GGA) for a geometry-optimized Be2GaTe structure.

Calculated total energy, eV per cell: -53.03
Space group: Cm
Polymorph energy (0 for the lowest one), eV per formula unit: 0.00

a b c (Å): 6.408 3.902 11.694
angles (deg): 90.00 103.46 90.00
Fractional coordinates of all 16 atoms:
Ga 0.967 0.000 0.807
Ga 0.967 0.500 0.307
Ga 0.593 0.000 0.838
Ga 0.593 0.500 0.338
Be 0.372 0.500 0.789
Be 0.372 0.000 0.289
Be 0.097 0.500 0.639
Be 0.542 0.500 0.977
Be 0.248 0.000 0.717
Be 0.097 0.000 0.139
Be 0.248 0.500 0.217
Be 0.542 0.000 0.477
Te 0.165 0.500 0.996
Te 0.699 0.500 0.595
Te 0.165 0.000 0.496
Te 0.699 0.000 0.095

---

[2]
Density functional theory data (PBE-GGA) for a geometry-optimized Be2GaTe structure.

Calculated total energy, eV per cell: -13.02
Space group: Cm
Polymorph energy (0 for the lowest one), eV per formula unit: 0.24

a b c (Å): 3.738 3.977 5.941
angles (deg): 109.78 90.04 118.03
Fractional coordinates of all 4 atoms:
Be 0.620 0.892 0.704
Be 0.941 0.535 0.649
Te 0.224 0.100 0.036
Ga 0.223 0.099 0.502

---

[3]
Density functional theory data (PBE-GGA) for a geometry-optimized Be2GaTe structure.

Calculated total energy, eV per cell: -26.04
Space group: P1
Polymorph energy (0 for the lowest one), eV per formula unit: 0.24

a b c (Å): 3.855 5.910 7.137
angles (deg): 100.34 90.04 106.72
Fractional coordinates of all 8 atoms:
Be 0.205 0.377 0.731
Be 0.779 0.552 0.668
Be 0.870 0.936 0.628
Be 0.322 0.651 0.555
Ga 0.817 0.567 0.336
Ga 0.699 0.463 0.977
Te 0.021 0.098 0.964
Te 0.422 0.073 0.459

---

[4]
Density functional theory data (PBE-GGA) for a geometry-optimized Be2GaTe structure.

Calculated total energy, eV per cell: -51.87
Space group: Cm
Polymorph energy (0 for the lowest one), eV per formula unit: 0.29

a b c (Å): 7.613 4.426 11.178
angles (deg): 90.00 123.93 90.00
Fractional coordinates of all 16 atoms:
Ga 0.562 0.000 0.719
Ga 0.896 0.500 0.829
Ga 0.562 0.500 0.219
Ga 0.896 0.000 0.329
Be 0.465 0.000 0.193
Be 0.485 0.258 0.873
Be 0.485 0.758 0.373
Be 0.485 0.242 0.373
Be 0.485 0.742 0.873
Be 0.465 0.500 0.693
Be 0.697 0.500 0.079
Be 0.697 0.000 0.579
Te 0.244 0.000 0.926
Te 0.244 0.500 0.426
Te 0.847 0.000 0.048
Te 0.847 0.500 0.548

---

[5]
Density functional theory data (PBE-GGA) for a geometry-optimized Be2GaTe structure.

Calculated total energy, eV per cell: -10.84
Space group: Fm-3m
Polymorph energy (0 for the lowest one), eV per formula unit: 2.42

a b c (Å): 4.544 4.544 4.544
angles (deg): 60.00 60.00 60.00
Fractional coordinates of all 4 atoms:
Ga 0.000 0.000 0.000
Be 0.250 0.250 0.250
Be 0.750 0.750 0.750
Te 0.500 0.500 0.500

---

[6]
Density functional theory data (PBE-GGA) for a geometry-optimized Be3GaTe structure.

Calculated total energy, eV per cell: -13.46
Space group: Pm-3m
Polymorph energy (0 for the lowest one), eV per formula unit: 0.00

a b c (Å): 4.402 4.402 4.402
angles (deg): 90.00 90.00 90.00
Fractional coordinates of all 5 atoms:
Be 0.000 0.500 0.000
Be 0.500 0.000 0.000
Be 0.000 0.000 0.500
Ga 0.000 0.000 0.000
Te 0.500 0.500 0.500

---

[7]
Density functional theory data (PBE-GGA) for a geometry-optimized Be2GaTe structure.

Calculated total energy, eV per cell: -26.09
Space group: P1
Polymorph energy (0 for the lowest one), eV per formula unit: 0.21

a b c (Å): 3.768 5.893 7.190
angles (deg): 88.52 74.88 71.37
Fractional coordinates of all 8 atoms:
Be 0.113 0.147 0.658
Be 0.767 0.955 0.539
Be 0.855 0.368 0.956
Be 0.326 0.754 0.624
Te 0.020 0.514 0.475
Te 0.209 0.652 0.966
Ga 0.519 0.113 0.881
Ga 0.857 0.096 0.219

---

[8]
Density functional theory data (PBE-GGA) for a geometry-optimized Be3GaTe structure.

Calculated total energy, eV per cell: -10.90
Space group: Pm-3m
Polymorph energy (0 for the lowest one), eV per formula unit: 2.57

a b c (Å): 4.724 4.724 4.724
angles (deg): 90.00 90.00 90.00
Fractional coordinates of all 5 atoms:
Be 0.000 0.500 0.000
Be 0.000 0.000 0.500
Be 0.500 0.000 0.000
Te 0.000 0.000 0.000
Ga 0.500 0.500 0.500

---

[9]
Density functional theory data (PBE-GGA) for a geometry-optimized BeGaTe2 structure.

Calculated total energy, eV per cell: -27.41
Space group: I-42d
Polymorph energy (0 for the lowest one), eV per formula unit: 0.00

a b c (Å): 6.241 6.241 7.309
angles (deg): 64.72 64.72 90.00
Fractional coordinates of all 8 atoms:
Te 0.375 0.431 0.750
Te 0.569 0.125 0.250
Te 0.875 0.819 0.750
Te 0.181 0.625 0.250
Be 0.250 0.750 0.500
Be 0.500 0.500 0.000
Ga 0.750 0.250 0.500
Ga 0.000 0.000 0.000

---

[10]
Density functional theory data (PBE-GGA) for a geometry-optimized Be2GaTe structure.

Calculated total energy, eV per cell: -26.27
Space group: P1
Polymorph energy (0 for the lowest one), eV per formula unit: 0.12

a b c (Å): 4.044 5.924 6.408
angles (deg): 102.12 92.26 109.36
Fractional coordinates of all 8 atoms:
Ga 0.728 0.050 0.163
Ga 0.941 0.185 0.815
Te 0.017 0.699 0.929
Te 0.447 0.477 0.381
Be 0.197 0.798 0.325
Be 0.377 0.120 0.602
Be 0.779 0.931 0.475
Be 0.529 0.340 0.992

---

[11]
Density functional theory data (PBE-GGA) for a geometry-optimized Be2GaTe structure.

Calculated total energy, eV per cell: -24.27
Space group: I-42d
Polymorph energy (0 for the lowest one), eV per formula unit: 1.12

a b c (Å): 5.872 5.872 6.356
angles (deg): 62.49 62.49 90.00
Fractional coordinates of all 8 atoms:
Be 0.375 0.375 0.750
Be 0.625 0.125 0.250
Be 0.875 0.875 0.750
Be 0.125 0.625 0.250
Te 0.750 0.250 0.500
Te 0.000 0.000 0.000
Ga 0.250 0.750 0.500
Ga 0.500 0.500 0.000

---

[12]
Density functional theory data (PBE-GGA) for a geometry-optimized Be2Ga2Te structure.

Calculated total energy, eV per cell: -14.53
Space group: I4/mmm
Polymorph energy (0 for the lowest one), eV per formula unit: 0.00

a b c (Å): 3.974 3.974 6.065
angles (deg): 70.87 70.87 90.00
Fractional coordinates of all 5 atoms:
Be 0.250 0.750 0.500
Be 0.750 0.250 0.500
Te 0.000 0.000 0.000
Ga 0.379 0.379 0.242
Ga 0.621 0.621 0.758

---

[13]
Density functional theory data (PBE-GGA) for a geometry-optimized Be2Ga2Te structure.

Calculated total energy, eV per cell: -28.11
Space group: P4/mbm
Polymorph energy (0 for the lowest one), eV per formula unit: 0.48

a b c (Å): 7.684 7.684 2.873
angles (deg): 90.00 90.00 90.00
Fractional coordinates of all 10 atoms:
Be 0.680 0.820 0.500
Be 0.180 0.680 0.500
Be 0.820 0.320 0.500
Be 0.320 0.180 0.500
Ga 0.378 0.878 0.000
Ga 0.878 0.622 0.000
Ga 0.622 0.122 0.000
Ga 0.122 0.378 0.000
Te 0.000 0.000 0.000
Te 0.500 0.500 0.000

---

[14]
Density functional theory data (PBE-GGA) for a geometry-optimized Be2GaTe structure.

Calculated total energy, eV per cell: -26.30
Space group: P2_1/m
Polymorph energy (0 for the lowest one), eV per formula unit: 0.11

a b c (Å): 6.172 3.743 6.664
angles (deg): 90.00 111.40 90.00
Fractional coordinates of all 8 atoms:
Be 0.782 0.250 0.501
Be 0.588 0.750 0.544
Be 0.412 0.250 0.456
Be 0.218 0.750 0.499
Ga 0.515 0.750 0.162
Ga 0.485 0.250 0.838
Te 0.990 0.250 0.245
Te 0.010 0.750 0.755

---

[15]
Density functional theory data (PBE-GGA) for a geometry-optimized Be2GaTe structure.

Calculated total energy, eV per cell: -26.31
Space group: P2_1/m
Polymorph energy (0 for the lowest one), eV per formula unit: 0.10

a b c (Å): 6.052 3.744 6.549
angles (deg): 90.00 96.38 90.00
Fractional coordinates of all 8 atoms:
Be 0.784 0.750 0.503
Be 0.216 0.250 0.497
Be 0.422 0.750 0.469
Be 0.578 0.250 0.531
Ga 0.569 0.250 0.156
Ga 0.431 0.750 0.844
Te 0.071 0.750 0.253
Te 0.929 0.250 0.747

---

[16]
Density functional theory data (PBE-GGA) for a geometry-optimized Be2GaTe structure.

Calculated total energy, eV per cell: -26.06
Space group: P-1
Polymorph energy (0 for the lowest one), eV per formula unit: 0.23

a b c (Å): 3.860 5.914 6.740
angles (deg): 85.61 79.60 73.61
Fractional coordinates of all 8 atoms:
Be 0.263 0.047 0.432
Be 0.626 0.666 0.388
Be 0.737 0.953 0.568
Be 0.374 0.334 0.612
Te 0.711 0.568 0.753
Te 0.289 0.432 0.247
Ga 0.936 0.956 0.197
Ga 0.064 0.044 0.803

---

[17]
Density functional theory data (PBE-GGA) for a geometry-optimized BeGaTe2 structure.

Calculated total energy, eV per cell: -12.38
Space group: R-3m
Polymorph energy (0 for the lowest one), eV per formula unit: 1.32

a b c (Å): 9.895 9.895 9.895
angles (deg): 20.16 20.16 20.16
Fractional coordinates of all 4 atoms:
Te 0.889 0.889 0.889
Te 0.111 0.111 0.111
Ga 0.000 0.000 0.000
Be 0.500 0.500 0.500

---

[18]
Density functional theory data (PBE-GGA) for a geometry-optimized BeGaTe2W structure.

Calculated total energy, eV per cell: -21.31
Space group: P4/mmm

a b c (Å): 5.285 5.022 5.285
angles (deg): 90.00 90.00 90.00
Fractional coordinates of all 5 atoms:
W 0.000 0.000 0.000
Te 0.000 0.000 0.500
Te 0.500 0.000 0.000
Ga 0.000 0.500 0.000
Be 0.500 0.500 0.500

---

[19]
Density functional theory data (PBE-GGA) for a geometry-optimized ZrBe2GaTe structure.

Calculated total energy, eV per cell: -17.56
Space group: P4/mmm

a b c (Å): 4.968 5.470 4.968
angles (deg): 90.00 90.00 90.00
Fractional coordinates of all 5 atoms:
Te 0.000 0.500 0.000
Be 0.000 0.000 0.500
Be 0.500 0.000 0.000
Ga 0.500 0.500 0.500
Zr 0.000 0.000 0.000

---

[20]
Density functional theory data (PBE-GGA) for a geometry-optimized Th2BeGa structure.

Formation energy, meV per atom: 605
Calculated total energy, eV per cell: -19.17
Space group: R-3m

a b c (Å): 3.319 3.319 11.188
angles (deg): 81.47 81.47 60.00
Fractional coordinates of all 4 atoms:
Be 0.000 0.000 0.000
Th 0.910 0.910 0.270
Th 0.090 0.090 0.730
Ga 0.500 0.500 0.500

---

[21]
Density functional theory data (PBE-GGA) for a geometry-optimized ThBeGa structure.

Formation energy, meV per atom: -345
Calculated total energy, eV per cell: -30.42
Space group: Pmmm
Polymorph energy (0 for the lowest one), eV per formula unit: 0.09

a b c (Å): 4.055 4.218 7.102
angles (deg): 90.00 90.00 90.00
Fractional coordinates of all 6 atoms:
Be 0.000 0.500 0.344
Be 0.000 0.500 0.656
Ga 0.500 0.500 0.179
Ga 0.500 0.500 0.821
Th 0.500 0.000 0.500
Th 0.000 0.000 0.000

---

[22]
Density functional theory data (PBE-GGA) for a geometry-optimized ThBeGa structure.

Formation energy, meV per atom: -375
Calculated total energy, eV per cell: -15.30
Space group: P-6m2
Polymorph energy (0 for the lowest one), eV per formula unit: 0.00

a b c (Å): 4.215 4.066 4.066
angles (deg): 120.00 90.00 90.00
Fractional coordinates of all 3 atoms:
Th 0.667 0.667 0.333
Be 0.167 0.333 0.667
Ga 0.166 0.000 0.000

---

[23]
Density functional theory data (PBE-GGA) for a geometry-optimized Th3Be2Ga4 structure.

Formation energy, meV per atom: -485
Calculated total energy, eV per cell: -46.18
Space group: C2/m

a b c (Å): 4.129 5.935 8.327
angles (deg): 98.74 90.00 110.36
Fractional coordinates of all 9 atoms:
Th 0.664 0.328 0.664
Th 0.000 0.000 0.000
Th 0.336 0.672 0.336
Ga 0.283 0.566 0.933
Ga 0.061 0.122 0.382
Ga 0.939 0.878 0.618
Ga 0.717 0.434 0.067
Be 0.609 0.218 0.279
Be 0.391 0.782 0.721

---

[24]
Density functional theory data (PBE-GGA) for a geometry-optimized ThBe2Ga2 structure.

Formation energy, meV per atom: -357
Calculated total energy, eV per cell: -45.42
Space group: P4/nmm

a b c (Å): 4.099 4.099 9.758
angles (deg): 90.00 90.00 90.00
Fractional coordinates of all 10 atoms:
Be 0.000 0.000 0.000
Be 0.000 0.500 0.366
Be 0.500 0.000 0.634
Be 0.500 0.500 0.000
Ga 0.000 0.500 0.125
Ga 0.000 0.000 0.500
Ga 0.500 0.500 0.500
Ga 0.500 0.000 0.875
Th 0.500 0.000 0.244
Th 0.000 0.500 0.756

---

[25]
Density functional theory data (PBE-GGA) for a geometry-optimized Ti6BeGa structure.

Formation energy, meV per atom: -164
Calculated total energy, eV per cell: -55.44
Space group: P4/mmm

a b c (Å): 3.972 3.972 7.901
angles (deg): 90.00 90.00 90.00
Fractional coordinates of all 8 atoms:
Ti 0.500 0.500 0.000
Ti 0.500 0.000 0.742
Ti 0.500 0.000 0.258
Ti 0.000 0.500 0.258
Ti 0.000 0.500 0.742
Ti 0.500 0.500 0.500
Ga 0.000 0.000 0.000
Be 0.000 0.000 0.500

---

[26]
Density functional theory data (PBE-GGA) for a geometry-optimized TiBe2Ga structure.

Formation energy, meV per atom: -230
Calculated total energy, eV per cell: -19.30
Space group: P4/mmm

a b c (Å): 3.570 3.692 3.692
angles (deg): 90.00 90.00 90.00
Fractional coordinates of all 4 atoms:
Be 0.000 0.500 0.000
Be 0.000 0.000 0.500
Ti 0.500 0.000 0.000
Ga 0.500 0.500 0.500